# 1
# Ca2AlTeO6

A relaxed structure of Ca2AlTeO6 (PBE, Alexandria).

a = 4.7842 Å, b = 5.2891 Å, c = 5.2891 Å
α = 90.00°, β = 90.00°, γ = 90.00°
Element x y z (fractional)
Ca 0.0244 0.5000 0.0000
Ca 0.0244 0.0000 0.5000
Al 0.5770 0.0000 0.0000
Te 0.5965 0.5000 0.5000
O 0.7067 0.2409 0.2409
O 0.7067 0.2409 0.7591
O 0.1878 0.5000 0.5000
O 0.2101 0.0000 0.0000
O 0.7067 0.7591 0.7591
O 0.7067 0.7591 0.2409

Properties
spin magnetization: 0.00 μB/cell
calculated total energy: -6.26 eV per atom
DOS at the Fermi energy: 1.7 states/eV/cell
uncorrected formation energy: -2197 meV per atom
symmetry: P4mm (99)


# 2
# CaAlTlO4

A relaxed structure of CaAlTlO4 (PBE, Alexandria).

a = 5.7056 Å, b = 5.7056 Å, c = 6.7101 Å
α = 90.00°, β = 90.00°, γ = 115.26°
Element x y z (fractional)
Ca 0.5000 0.5000 0.5000
Ca 0.5000 0.5000 0.0000
Al 0.1400 0.8600 0.2500
Al 0.8600 0.1400 0.7500
Tl 0.8326 0.1674 0.2500
Tl 0.1674 0.8326 0.7500
O 0.2056 0.2513 0.7500
O 0.7487 0.7944 0.7500
O 0.7448 0.2552 0.9584
O 0.7448 0.2552 0.5416
O 0.2552 0.7448 0.0416
O 0.2552 0.7448 0.4584
O 0.7944 0.7487 0.2500
O 0.2513 0.2056 0.2500

Properties
spin magnetization: 0.00 μB/cell
calculated total energy: -6.14 eV per atom
uncorrected formation energy: -2152 meV per atom
symmetry: Cmcm (63)